(1)
SeI2Br after structural relaxation, computed with PBE.

Cell: 8.8937 8.8937 12.8546 Å, 90.00 90.00 90.00°
Space group I4_1/amd (No. 141, origin choice 2)
Asymmetric unit:
Se  0.0000  0.2500  0.3750 x4
I  0.0000  0.0000  0.5000 x8
Br  0.0000  0.2500  0.8750 x4

Properties
DFT total energy (eV per formula unit): -7.023
Calculated volume (Å³/atom): 63.55
Relative energy among the computed polymorphs (kcal/mol of atoms): 7.55
Mass density (Mg/m³): 2.70



(2)
SeIBr after structural relaxation, computed with PBE.

Cell: 6.6490 6.7381 7.2456 Å, 88.05 76.92 60.59°
Space group P-1 (No. 2)
Asymmetric unit:
Se  0.0107  0.0580  0.3407 x2
I  0.0031  0.3218  0.8879 x2
Br  0.4321  0.8980  0.2596 x2

Properties
DFT total energy (eV per formula unit): -6.723
Calculated volume (Å³/atom): 45.72
Relative energy among the computed polymorphs (kcal/mol of atoms): 1.28
Mass density (Mg/m³): 3.46



no.,ΔE_f (raw) (eV/atom)
1,0.31
2,-0.01